Entry 1:
Li2AlTl GGA-PBEsol relaxed; DFT formation energy = -0.150 eV/atom; E = -2.8137 eV per atom; DOS at the Fermi energy = 1.06 states/eV/cell
1.0
0.0000 3.2698 3.2698
3.2698 0.0000 3.2698
3.2698 3.2698 0.0000
Li Al Tl
2 1 1
Direct
0.2500 0.2500 0.2500
0.7500 0.7500 0.7500
0.0000 0.0000 0.0000
0.5000 0.5000 0.5000

Entry 2:
InNiRh GGA-PBEsol relaxed; DFT formation energy = -0.089 eV/atom; E = -5.8484 eV per atom; distance to the lowest polymorph of the same formula = 0 meV per atom; DOS at the Fermi energy = 4.19 states/eV/cell
1.0
-1.5242 1.5242 4.6305
1.5242 -1.5242 4.6305
1.5242 1.5242 -4.6305
In Ni Rh
1 1 1
Direct
0.0000 0.0000 0.0000
0.3362 0.3362 0.0000
0.6818 0.6818 0.0000

Entry 3:
BaSrI2O GGA-PBEsol relaxed; E = -3.8506 eV per atom; DOS at the Fermi energy = 1.68 states/eV/cell
1.0
6.6108 0.0000 0.0000
0.0000 6.6108 0.0000
0.0000 0.0000 4.5979
Ba Sr I O
1 1 2 1
Direct
0.0000 0.0000 0.0000
0.5000 0.5000 0.5000
0.0000 0.5000 0.0000
0.5000 0.0000 0.0000
0.0000 0.0000 0.5000

Entry 4:
Y2MnAu GGA-PBEsol relaxed; DFT formation energy = -0.102 eV/atom; E = -6.9347 eV per atom; distance to the lowest polymorph of the same formula = 94 meV per atom; DOS at the Fermi energy = 3.77 states/eV/cell
1.0
3.4656 0.0000 0.0000
0.0000 3.4656 0.0000
0.0000 0.0000 7.5750
Y Mn Au
2 1 1
Direct
0.0000 0.0000 0.0000
0.5000 0.5000 0.3633
0.5000 0.5000 0.7648
0.0000 0.0000 0.5910

Entry 5:
AgHgTe2 GGA-PBEsol relaxed; E = -2.7432 eV per atom; DOS at the Fermi energy = 4.99 states/eV/cell
1.0
-3.1673 3.1673 6.3387
3.1673 -3.1673 6.3387
3.1673 3.1673 -6.3387
Ag Hg Te
2 2 4
Direct
0.0000 0.0000 0.0000
0.7500 0.2500 0.5000
0.2500 0.7500 0.5000
0.5000 0.5000 0.0000
0.1107 0.6250 0.9857
0.3750 0.3607 0.4857
0.6393 0.1250 0.0143
0.8750 0.8893 0.5143

Entry 6:
CaPRh GGA-PBEsol relaxed; DFT formation energy = -0.409 eV/atom; E = -5.7638 eV per atom; DOS at the Fermi energy = 3.12 states/eV/cell
1.0
0.0000 3.0353 3.0353
3.0353 0.0000 3.0353
3.0353 3.0353 0.0000
Ca P Rh
1 1 1
Direct
0.0000 0.0000 0.0000
0.5000 0.5000 0.5000
0.2500 0.2500 0.2500

Entry 7:
Cs3RbPd GGA-PBEsol relaxed; DFT formation energy = 0.127 eV/atom; E = -1.8356 eV per atom; DOS at the Fermi energy = 0.66 states/eV/cell
1.0
6.8892 0.0000 0.0000
0.0000 6.8892 0.0000
0.0000 0.0000 6.8892
Cs Rb Pd
3 1 1
Direct
0.0000 0.0000 0.5000
0.0000 0.5000 0.0000
0.5000 0.0000 0.0000
0.5000 0.5000 0.5000
0.0000 0.0000 0.0000

Entry 8:
MnOs2Cl GGA-PBEsol relaxed; E = -8.4589 eV per atom; distance to the lowest polymorph of the same formula = 224 meV per atom; DOS at the Fermi energy = 3.68 states/eV/cell
1.0
5.4599 -1.3608 0.0000
5.4599 1.3608 0.0000
-0.5368 0.0000 3.9111
Mn Os Cl
1 2 1
Direct
0.0000 0.0000 0.0000
0.2963 0.2963 0.7779
0.7037 0.7037 0.2221
0.5000 0.5000 0.5000

Entry 9:
LaBeN3 GGA-PBEsol relaxed; E = -7.0896 eV per atom; DOS at the Fermi energy = 2.72 states/eV/cell
1.0
3.7005 0.0000 0.0000
0.0000 3.7005 0.0000
0.0000 0.0000 3.7005
La Be N
1 1 3
Direct
0.0000 0.0000 0.0000
0.5000 0.5000 0.5000
0.0000 0.5000 0.5000
0.5000 0.0000 0.5000
0.5000 0.5000 0.0000

Entry 10:
SrLaRh GGA-PBEsol relaxed; DFT formation energy = -0.347 eV/atom; E = -5.4550 eV per atom; DOS at the Fermi energy = 0.84 states/eV/cell
1.0
4.1285 0.0000 0.0000
-2.0642 3.5754 0.0000
0.0000 0.0000 6.7948
Sr La Rh
1 1 1
Direct
0.0000 0.0000 0.0000
0.3333 0.6667 0.4717
0.6667 0.3333 0.2761

Entry 11:
As2SeBrN GGA-PBEsol relaxed; E = -3.1716 eV per atom; DOS at the Fermi energy = 3.77 states/eV/cell
1.0
4.9917 0.0000 0.0000
0.0000 4.9917 0.0000
0.0000 0.0000 5.4882
As Se Br N
2 1 1 1
Direct
0.0000 0.5000 0.0000
0.5000 0.0000 0.0000
0.0000 0.0000 0.0000
0.0000 0.0000 0.5000
0.5000 0.5000 0.5000

Entry 12:
LiScCd2N GGA-PBEsol relaxed; E = -3.4789 eV per atom; DOS at the Fermi energy = 2.58 states/eV/cell
1.0
4.7492 0.0000 0.0000
0.0000 4.7492 0.0000
0.0000 0.0000 3.6936
Li Sc Cd N
1 1 2 1
Direct
0.0000 0.0000 0.0000
0.5000 0.5000 0.5000
0.0000 0.5000 0.0000
0.5000 0.0000 0.0000
0.0000 0.0000 0.5000

Entry 13:
TlCd3 GGA-PBEsol relaxed; DFT formation energy = 0.065 eV/atom; E = -1.4904 eV per atom; DOS at the Fermi energy = 3.07 states/eV/cell
1.0
-2.2443 2.2443 9.0451
2.2443 -2.2443 9.0451
2.2443 2.2443 -9.0451
Tl Cd
2 6
Direct
0.1243 0.1243 0.0000
0.8757 0.8757 0.0000
0.0000 0.5000 0.5000
0.2500 0.7500 0.5000
0.3746 0.3746 0.0000
0.5000 0.0000 0.5000
0.6254 0.6254 0.0000
0.7500 0.2500 0.5000

Entry 14:
ZrAlRe2 GGA-PBEsol relaxed; DFT formation energy = -0.094 eV/atom; E = -10.0552 eV per atom; DOS at the Fermi energy = 4.07 states/eV/cell
1.0
3.3089 0.0000 0.0000
0.0000 3.3089 0.0000
0.0000 0.0000 5.8478
Zr Al Re
1 1 2
Direct
0.0000 0.0000 0.0000
0.0000 0.0000 0.5000
0.5000 0.5000 0.2774
0.5000 0.5000 0.7226

Entry 15:
Fe2OsSe GGA-PBEsol relaxed; E = -8.0931 eV per atom; DOS at the Fermi energy = 3.95 states/eV/cell
1.0
-1.4335 2.1356 4.1396
1.4335 -2.1356 4.1396
1.4335 2.1356 -4.1396
Fe Os Se
2 1 1
Direct
0.2299 0.2299 0.0000
0.7701 0.7701 0.0000
0.5000 0.0000 0.5000
0.0000 0.5000 0.5000

Entry 16:
Mg3ReH7 GGA-PBEsol relaxed; E = -4.0559 eV per atom; DOS at the Fermi energy = 0.00 states/eV/cell
1.0
4.7899 0.0000 0.0000
-2.3950 4.1482 0.0000
0.0000 0.0000 10.6087
Mg Re H
6 2 14
Direct
0.0000 0.0000 0.2500
0.0000 0.0000 0.7500
0.3333 0.6667 0.0691
0.3333 0.6667 0.4309
0.6667 0.3333 0.5691
0.6667 0.3333 0.9309
0.0000 0.0000 0.0000
0.0000 0.0000 0.5000
0.1704 0.3409 0.5975
0.1704 0.3409 0.9025
0.1704 0.8296 0.5975
0.1704 0.8296 0.9025
0.3333 0.6667 0.2500
0.3409 0.1704 0.0975
0.3409 0.1704 0.4025
0.6591 0.8296 0.5975
0.6591 0.8296 0.9025
0.6667 0.3333 0.7500
0.8296 0.1704 0.0975
0.8296 0.1704 0.4025
0.8296 0.6591 0.0975
0.8296 0.6591 0.4025

Entry 17:
SiAg3Bi GGA-PBEsol relaxed; E = -2.8468 eV per atom; DOS at the Fermi energy = 3.13 states/eV/cell
1.0
5.2181 0.0000 0.0000
0.0000 5.2181 0.0000
0.0000 0.0000 5.2181
Si Ag Bi
1 3 1
Direct
0.0000 0.0000 0.0000
0.0000 0.5000 0.5000
0.5000 0.0000 0.5000
0.5000 0.5000 0.0000
0.5000 0.5000 0.5000

Entry 18:
ZrSi2Tc GGA-PBEsol relaxed; E = -8.0030 eV per atom; distance to the lowest polymorph of the same formula = 544 meV per atom; DOS at the Fermi energy = 5.11 states/eV/cell
1.0
-1.9000 1.9000 9.1569
1.9000 -1.9000 9.1569
1.9000 1.9000 -9.1569
Zr Si Tc
2 4 2
Direct
0.0000 0.0000 0.0000
0.7500 0.2500 0.5000
0.1610 0.6250 0.0360
0.3750 0.4110 0.5360
0.5890 0.1250 0.9640
0.8750 0.8390 0.4640
0.2500 0.7500 0.5000
0.5000 0.5000 0.0000

Entry 19:
K2CaMo GGA-PBEsol relaxed; DFT formation energy = 1.254 eV/atom; E = -2.7884 eV per atom; distance to the lowest polymorph of the same formula = 202 meV per atom; DOS at the Fermi energy = 3.41 states/eV/cell
1.0
0.0000 4.2192 4.2192
4.2192 0.0000 4.2192
4.2192 4.2192 0.0000
K Ca Mo
2 1 1
Direct
0.0000 0.0000 0.0000
0.2500 0.2500 0.2500
0.5000 0.5000 0.5000
0.7500 0.7500 0.7500

Entry 20:
Ca2TaRe GGA-PBEsol relaxed; DFT formation energy = 0.761 eV/atom; E = -6.7763 eV per atom; distance to the lowest polymorph of the same formula = 220 meV per atom; DOS at the Fermi energy = 2.65 states/eV/cell
1.0
2.7841 0.0000 0.0000
0.0000 5.1653 0.0000
-0.6785 0.0000 5.5469
Ca Ta Re
2 1 1
Direct
0.0126 0.0000 0.2562
0.9874 0.0000 0.7438
0.5000 0.5000 0.0000
0.5000 0.5000 0.5000

Entry 21:
PrSi2Ru2 GGA-PBEsol relaxed; E = -8.2858 eV per atom; DOS at the Fermi energy = 2.35 states/eV/cell
1.0
-2.0880 2.0880 4.8842
2.0880 -2.0880 4.8842
2.0880 2.0880 -4.8842
Pr Si Ru
1 2 2
Direct
0.0000 0.0000 0.0000
0.3645 0.3645 0.0000
0.6355 0.6355 0.0000
0.2500 0.7500 0.5000
0.7500 0.2500 0.5000

Entry 22:
YCr2Se GGA-PBEsol relaxed; E = -7.4768 eV per atom; DOS at the Fermi energy = 4.38 states/eV/cell
1.0
-1.9934 1.9934 4.4702
1.9934 -1.9934 4.4702
1.9934 1.9934 -4.4702
Y Cr Se
1 2 1
Direct
0.0000 0.0000 0.0000
0.5000 0.5000 0.0000
0.7500 0.2500 0.5000
0.2500 0.7500 0.5000

Entry 23:
Rb2ZrSi3O10 GGA-PBEsol relaxed; E = -7.5462 eV per atom
1.0
7.3228 0.0000 0.0000
0.0000 10.6086 0.0000
0.0000 0.0000 13.3042
Rb Zr Si O
8 4 12 40
Direct
0.1639 0.2328 0.1146
0.2408 0.0813 0.4124
0.2592 0.9187 0.9124
0.3361 0.7672 0.6146
0.6639 0.2672 0.8854
0.7408 0.4187 0.5876
0.7592 0.5813 0.0876
0.8361 0.7328 0.3854
0.2413 0.5649 0.2193
0.2587 0.4351 0.7193
0.7413 0.9351 0.7807
0.7587 0.0649 0.2807
0.0225 0.1617 0.6745
0.0690 0.8616 0.1718
0.2352 0.4616 0.4520
0.2648 0.5384 0.9520
0.4310 0.1384 0.6718
0.4775 0.8383 0.1745
0.5225 0.3383 0.3255
0.5690 0.6384 0.8282
0.7352 0.0384 0.5480
0.7648 0.9616 0.0480
0.9310 0.3616 0.3282
0.9775 0.6617 0.8255
0.0116 0.6276 0.5718
0.0141 0.4457 0.2378
0.0381 0.3888 0.4354
0.0484 0.3102 0.6959
0.0600 0.7122 0.1976
0.0787 0.5883 0.7338
0.1042 0.6441 0.9270
0.2193 0.0939 0.6476
0.2360 0.5003 0.0686
0.2485 0.5782 0.3737
0.2515 0.4218 0.8737
0.2640 0.4997 0.5686
0.2807 0.9061 0.1476
0.3958 0.3559 0.4270
0.4213 0.4117 0.2338
0.4400 0.2878 0.6976
0.4516 0.6898 0.1959
0.4619 0.6112 0.9354
0.4859 0.5543 0.7378
0.4884 0.3724 0.0718
0.5116 0.8724 0.4282
0.5141 0.0543 0.7622
0.5381 0.1112 0.5646
0.5484 0.1898 0.3041
0.5600 0.7878 0.8024
0.5787 0.9117 0.2662
0.6042 0.8559 0.0730
0.7193 0.4061 0.3524
0.7360 0.9997 0.9314
0.7485 0.9218 0.6263
0.7515 0.0782 0.1263
0.7640 0.0003 0.4314
0.7807 0.5939 0.8524
0.8958 0.1441 0.5730
0.9213 0.0883 0.7662
0.9400 0.2122 0.3024
0.9516 0.8102 0.8041
0.9619 0.8888 0.0646
0.9859 0.9457 0.2622
0.9884 0.1276 0.9282

Entry 24:
Be2AlNi2 GGA-PBEsol relaxed; DFT formation energy = -0.455 eV/atom; E = -5.3364 eV per atom; DOS at the Fermi energy = 3.94 states/eV/cell
1.0
6.1391 0.0000 0.0000
0.0000 6.1391 0.0000
0.0000 0.0000 2.5900
Be Al Ni
4 2 4
Direct
0.1221 0.3779 0.0000
0.3779 0.8779 0.0000
0.6221 0.1221 0.0000
0.8779 0.6221 0.0000
0.0000 0.0000 0.0000
0.5000 0.5000 0.0000
0.1710 0.6710 0.5000
0.3290 0.1710 0.5000
0.6710 0.8290 0.5000
0.8290 0.3290 0.5000

Entry 25:
ZrSiAg2 GGA-PBEsol relaxed; E = -5.5298 eV per atom; DOS at the Fermi energy = 2.75 states/eV/cell
1.0
5.3990 -1.5412 0.0000
5.3990 1.5412 0.0000
-1.9169 0.0000 4.1423
Zr Si Ag
1 1 2
Direct
0.0000 0.0000 0.0000
0.5000 0.5000 0.5000
0.2234 0.2234 0.7234
0.7766 0.7766 0.2766